[1]
Density functional theory data (SCAN) for a PBEsol-optimized structure of Rb3ZnF.

Cell and atoms, written as POSCAR:
```
Rb3ZnF
1.0
5.6286 0.0000 0.0000
0.0000 5.6286 0.0000
0.0000 0.0000 5.6286
Rb Zn F
3 1 1
direct
0.0000 0.0000 0.5000
0.0000 0.5000 0.0000
0.5000 0.0000 0.0000
0.5000 0.5000 0.5000
0.0000 0.0000 0.0000
```

Values from the calculation:
The density of states at the Fermi level comes out at 3.1 states/eV/cell. Its total energy is -16.843 eV per atom.


[2]
Density functional theory data (SCAN) for a PBEsol-optimized structure of CoSbAs2.

Cell and atoms, written as POSCAR:
```
CoSbAs2
1.0
3.0817 -1.5679 0.0000
3.0817 1.5679 0.0000
-1.7965 0.0000 8.2350
Co Sb As
1 1 2
direct
0.0000 0.0000 0.0000
0.5000 0.5000 0.5000
0.3625 0.3625 0.1559
0.6375 0.6375 0.8441
```

Values from the calculation:
The density of states at the Fermi level comes out at 2.6 states/eV/cell. Its total energy is -23.703 eV per atom.


[3]
Density functional theory data (SCAN) for a PBEsol-optimized structure of BaZn2Te.

Cell and atoms, written as POSCAR:
```
BaZn2Te
1.0
3.8958 0.0000 0.0000
0.0000 3.8958 0.0000
0.0000 0.0000 6.9863
Ba Zn Te
1 2 1
direct
0.0000 0.0000 0.0000
0.5000 0.5000 0.3057
0.5000 0.5000 0.6943
0.0000 0.0000 0.5000
```

Values from the calculation:
The density of states at the Fermi level comes out at 1.4 states/eV/cell. Its total energy is -26.253 eV per atom.


[4]
Density functional theory data (SCAN) for a PBEsol-optimized structure of Sn3CCl.

Cell and atoms, written as POSCAR:
```
Sn3CCl
1.0
4.8549 0.0000 0.0000
0.0000 4.8549 0.0000
0.0000 0.0000 4.8549
Sn C Cl
3 1 1
direct
0.0000 0.0000 0.5000
0.0000 0.5000 0.0000
0.5000 0.0000 0.0000
0.0000 0.0000 0.0000
0.5000 0.5000 0.5000
```

Values from the calculation:
The density of states at the Fermi level comes out at 2.9 states/eV/cell. Its total energy is -24.268 eV per atom.


[5]
Density functional theory data (SCAN) for a PBEsol-optimized structure of Ba2LiRh.

Cell and atoms, written as POSCAR:
```
Ba2LiRh
1.0
4.5706 0.0000 0.0000
0.0000 2.2490 5.9794
0.0000 -2.2490 5.9794
Ba Li Rh
2 1 1
direct
0.0000 0.0000 0.0000
0.5000 0.2755 0.2755
0.5000 0.5899 0.5899
0.0000 0.6885 0.6885
```

Values from the calculation:
The density of states at the Fermi level comes out at 0.7 states/eV/cell. The energy of formation from the pure elements comes out at -0.09 eV/atom.


[6]
Density functional theory data (SCAN) for a PBEsol-optimized structure of SnB2Te.

Cell and atoms, written as POSCAR:
```
SnB2Te
1.0
-2.6278 2.6278 5.2200
2.6278 -2.6278 5.2200
2.6278 2.6278 -5.2200
Sn B Te
2 4 2
direct
0.0000 0.0000 0.0000
0.7500 0.2500 0.5000
0.1289 0.6250 0.0039
0.3750 0.3789 0.5039
0.6211 0.1250 0.9961
0.8750 0.8711 0.4961
0.2500 0.7500 0.5000
0.5000 0.5000 0.0000
```

Values from the calculation:
Its total energy is -21.489 eV per atom.


[7]
Density functional theory data (SCAN) for a PBEsol-optimized structure of CaPtAu2.

Cell and atoms, written as POSCAR:
```
CaPtAu2
1.0
-2.0530 2.0530 4.2404
2.0530 -2.0530 4.2404
2.0530 2.0530 -4.2404
Ca Pt Au
1 1 2
direct
0.0000 0.0000 0.0000
0.2500 0.7500 0.5000
0.5000 0.5000 0.0000
0.7500 0.2500 0.5000
```

Values from the calculation:
The density of states at the Fermi level comes out at 0.9 states/eV/cell. The energy of formation from the pure elements comes out at -0.62 eV/atom.


[8]
Density functional theory data (SCAN) for a PBEsol-optimized structure of YCl.

Cell and atoms, written as POSCAR:
```
YCl
1.0
3.4463 0.0000 0.0000
-1.7232 2.9846 0.0000
0.0000 0.0000 4.1342
Y Cl
1 1
direct
0.0000 0.0000 0.0000
0.3333 0.6667 0.5000
```

Values from the calculation:
The density of states at the Fermi level comes out at 0.1 states/eV/cell. Its total energy is -19.422 eV per atom.